[1]
KLiRu2, relaxed, DFT PBE-GGA; E_tot = -4.57 eV/atom; energy above the most stable polymorph in this dataset = 138 kJ/mol of formula units; total magnetization = 0.79 μB per cell; ΔE_f = 0.82 eV per atom; DOS at the Fermi energy = 4.4 states/eV/cell; SG = No. 123; theoretical density = 6.1 g/cm³
1.0
2.601 0.000 0.000
0.000 2.601 0.000
0.000 0.000 9.982
K Li Ru
1 1 2
direct
0.500 0.500 0.250
0.500 0.500 0.750
0.000 0.000 0.535
0.000 0.000 0.965

=====

[2]
KLi2Ru, relaxed, DFT PBE-GGA; E_tot = -3.05 eV/atom; energy above the most stable polymorph in this dataset = 0 kJ/mol of formula units; total magnetization = 0.00 μB per cell; ΔE_f = 0.50 eV per atom; DOS at the Fermi energy = 2.8 states/eV/cell; SG = No. 10; theoretical density = 3.1 g/cm³
1.0
-3.884 -1.761 0.808
-0.439 -0.232 -2.614
2.866 -6.436 -0.250
Li K Ru
2 1 1
direct
0.000 0.691 0.411
0.000 0.809 0.089
0.500 0.750 0.750
0.500 0.250 0.250

=====

[3]
K2LiRu, relaxed, DFT PBE-GGA; E_tot = -2.37 eV/atom; energy above the most stable polymorph in this dataset = 98 kJ/mol of formula units; total magnetization = 0.00 μB per cell; ΔE_f = 0.98 eV per atom; DOS at the Fermi energy = 1.8 states/eV/cell; SG = No. 12; theoretical density = 3.0 g/cm³
1.0
6.392 -0.003 -0.062
-3.213 5.526 -0.062
0.261 0.454 2.863
K Li Ru
2 1 1
direct
0.500 0.500 0.000
0.000 0.000 0.000
0.500 0.000 0.500
0.000 0.500 0.500

=====

[4]
KLi2Ru, relaxed, DFT PBE-GGA; E_tot = -3.04 eV/atom; energy above the most stable polymorph in this dataset = 2 kJ/mol of formula units; total magnetization = 0.05 μB per cell; ΔE_f = 0.51 eV per atom; DOS at the Fermi energy = 3.0 states/eV/cell; SG = No. 47; theoretical density = 3.1 g/cm³
1.0
-1.983 -0.298 -1.771
-2.342 -2.037 2.964
-2.806 6.264 2.088
Li K Ru
2 1 1
direct
0.000 0.000 0.089
0.000 0.000 0.411
0.500 0.500 0.750
0.500 0.500 0.250

=====

[5]
KLiRu2, relaxed, DFT PBE-GGA; E_tot = -4.88 eV/atom; energy above the most stable polymorph in this dataset = 18 kJ/mol of formula units; total magnetization = 0.00 μB per cell; ΔE_f = 0.51 eV per atom; DOS at the Fermi energy = 3.8 states/eV/cell; SG = No. 99; theoretical density = 4.9 g/cm³
1.0
3.148 0.000 0.000
0.000 3.148 0.000
0.000 0.000 8.479
Ru Li K
2 1 1
direct
0.000 0.000 0.028
0.500 0.500 0.163
0.500 0.500 0.836
0.000 0.000 0.472

=====

[6]
K2LiRu, relaxed, DFT PBE-GGA; E_tot = -2.37 eV/atom; energy above the most stable polymorph in this dataset = 95 kJ/mol of formula units; total magnetization = 0.00 μB per cell; ΔE_f = 0.97 eV per atom; DOS at the Fermi energy = 2.3 states/eV/cell; SG = No. 47; theoretical density = 3.0 g/cm³
1.0
-1.349 2.034 1.558
2.398 -1.920 4.584
4.974 4.008 -0.923
Li Ru K
1 1 2
direct
0.500 0.500 0.250
0.500 0.500 0.750
0.000 0.000 0.983
0.000 0.000 0.517

=====

[7]
K4LiRu, relaxed, DFT PBE-GGA; E_tot = -1.59 eV/atom; total magnetization = 2.14 μB per cell; ΔE_f = 1.00 eV per atom; DOS at the Fermi energy = 4.5 states/eV/cell; SG = No. 216; theoretical density = 1.6 g/cm³
1.0
-3.363 -3.449 5.393
-6.546 -2.879 -1.075
-0.795 -7.183 -0.241
K Ru Li
4 1 1
direct
0.373 0.880 0.373
0.373 0.373 0.373
0.880 0.373 0.373
0.373 0.373 0.880
0.000 0.000 0.000
0.750 0.750 0.750

=====

[8]
K2LiRu, relaxed, DFT PBE-GGA; E_tot = -2.37 eV/atom; energy above the most stable polymorph in this dataset = 98 kJ/mol of formula units; total magnetization = 0.00 μB per cell; ΔE_f = 0.98 eV per atom; DOS at the Fermi energy = 1.5 states/eV/cell; SG = No. 65; theoretical density = 3.0 g/cm³
1.0
6.360 -0.016 0.000
-3.179 5.509 0.000
0.000 0.000 2.914
Ru Li K
1 1 2
direct
0.000 0.500 0.500
0.500 0.000 0.500
0.500 0.500 0.000
0.000 0.000 0.000

=====

[9]
K2LiRu, relaxed, DFT PBE-GGA; E_tot = -2.33 eV/atom; energy above the most stable polymorph in this dataset = 111 kJ/mol of formula units; total magnetization = 0.00 μB per cell; ΔE_f = 1.01 eV per atom; DOS at the Fermi energy = 2.0 states/eV/cell; SG = No. 71; theoretical density = 3.1 g/cm³
1.0
-0.487 -5.151 4.150
-2.488 -5.822 -1.978
4.484 4.888 -0.008
Ru Li K
1 1 2
direct
0.250 0.750 0.500
0.750 0.250 0.500
0.491 0.491 0.000
0.009 0.009 0.000

=====

[10]
KLi2Ru, relaxed, DFT PBE-GGA; E_tot = -2.68 eV/atom; energy above the most stable polymorph in this dataset = 141 kJ/mol of formula units; total magnetization = 1.05 μB per cell; ΔE_f = 0.87 eV per atom; DOS at the Fermi energy = 5.3 states/eV/cell; SG = No. 119; theoretical density = 3.1 g/cm³
1.0
-1.614 -0.152 -5.335
-3.046 -4.410 -1.539
-0.128 3.733 4.140
Ru K Li
1 1 2
direct
0.500 0.500 0.000
0.750 0.250 0.500
0.000 0.000 0.000
0.250 0.750 0.500

=====

[11]
KLi2Ru, relaxed, DFT PBE-GGA; E_tot = -2.97 eV/atom; energy above the most stable polymorph in this dataset = 28 kJ/mol of formula units; total magnetization = 1.23 μB per cell; ΔE_f = 0.58 eV per atom; DOS at the Fermi energy = 3.6 states/eV/cell; SG = No. 123; theoretical density = 3.0 g/cm³
1.0
3.213 0.053 0.000
-0.053 3.213 0.000
0.000 0.000 8.356
K Li Ru
1 2 1
direct
0.500 0.500 0.750
0.000 0.000 0.088
0.000 0.000 0.412
0.500 0.500 0.250

=====

[12]
KLiRu2, relaxed, DFT PBE-GGA; E_tot = -4.60 eV/atom; energy above the most stable polymorph in this dataset = 126 kJ/mol of formula units; total magnetization = 0.00 μB per cell; ΔE_f = 0.79 eV per atom; DOS at the Fermi energy = 3.9 states/eV/cell; SG = No. 47; theoretical density = 5.0 g/cm³
1.0
-1.971 1.519 -0.628
-1.503 -0.143 4.371
3.867 5.643 1.514
K Ru Li
1 2 1
direct
0.500 0.500 0.250
0.000 0.000 0.587
0.000 0.000 0.913
0.500 0.500 0.750

=====

[13]
K2LiRu, relaxed, DFT PBE-GGA; E_tot = -2.55 eV/atom; energy above the most stable polymorph in this dataset = 26 kJ/mol of formula units; total magnetization = 0.75 μB per cell; ΔE_f = 0.79 eV per atom; DOS at the Fermi energy = 4.1 states/eV/cell; SG = No. 8; theoretical density = 2.7 g/cm³
1.0
-3.861 4.689 2.651
-5.679 3.268 0.993
-2.620 -2.684 5.172
Li Ru K
1 1 2
direct
0.564 0.564 0.491
0.207 0.207 0.222
0.963 0.963 0.089
0.765 0.765 0.698

=====

[14]
KLi2Ru, relaxed, DFT PBE-GGA; E_tot = -3.04 eV/atom; energy above the most stable polymorph in this dataset = 3 kJ/mol of formula units; total magnetization = 0.00 μB per cell; ΔE_f = 0.51 eV per atom; DOS at the Fermi energy = 2.5 states/eV/cell; SG = No. 6; theoretical density = 2.8 g/cm³
1.0
4.497 0.000 0.000
0.000 2.647 0.011
0.000 1.137 7.549
K Ru Li
1 1 2
direct
0.500 0.851 0.704
0.000 0.490 0.400
0.500 0.038 0.294
0.000 0.122 0.102

=====

[15]
K2LiRu, relaxed, DFT PBE-GGA; E_tot = -2.25 eV/atom; energy above the most stable polymorph in this dataset = 142 kJ/mol of formula units; total magnetization = 2.01 μB per cell; ΔE_f = 1.09 eV per atom; DOS at the Fermi energy = 7.2 states/eV/cell; SG = No. 123; theoretical density = 2.4 g/cm³
1.0
4.415 0.000 0.000
0.000 4.415 0.000
0.000 0.000 6.734
Li K Ru
1 2 1
direct
0.500 0.500 0.250
0.000 0.000 0.518
0.000 0.000 0.982
0.500 0.500 0.750

=====

[16]
KLi2Ru, relaxed, DFT PBE-GGA; E_tot = -3.02 eV/atom; energy above the most stable polymorph in this dataset = 12 kJ/mol of formula units; total magnetization = 0.22 μB per cell; ΔE_f = 0.53 eV per atom; DOS at the Fermi energy = 3.6 states/eV/cell; SG = No. 12; theoretical density = 3.1 g/cm³
1.0
-2.570 0.918 3.931
-1.791 -1.647 4.122
5.382 1.897 3.511
K Li Ru
1 2 1
direct
0.750 0.750 0.750
0.989 0.989 0.092
0.511 0.511 0.408
0.250 0.250 0.250

=====

[17]
KLiRu2, relaxed, DFT PBE-GGA; E_tot = -4.87 eV/atom; energy above the most stable polymorph in this dataset = 21 kJ/mol of formula units; total magnetization = 0.00 μB per cell; ΔE_f = 0.52 eV per atom; DOS at the Fermi energy = 2.8 states/eV/cell; SG = No. 8; theoretical density = 4.9 g/cm³
1.0
4.365 0.003 -0.010
3.458 2.664 -0.010
0.417 0.142 7.258
K Li Ru
1 1 2
direct
0.497 0.497 0.521
0.264 0.264 0.157
0.000 0.000 0.970
0.739 0.739 0.852

=====

[18]
KLiRu2, relaxed, DFT PBE-GGA; E_tot = -4.52 eV/atom; energy above the most stable polymorph in this dataset = 154 kJ/mol of formula units; total magnetization = 0.03 μB per cell; ΔE_f = 0.87 eV per atom; DOS at the Fermi energy = 2.8 states/eV/cell; SG = No. 47; theoretical density = 6.0 g/cm³
1.0
2.847 0.000 0.000
0.000 4.517 0.000
0.000 0.000 5.369
K Ru Li
1 2 1
direct
0.500 0.000 0.500
0.500 0.500 0.000
0.000 0.000 0.000
0.000 0.500 0.500

=====

[19]
K2LiRu, relaxed, DFT PBE-GGA; E_tot = -2.62 eV/atom; energy above the most stable polymorph in this dataset = 0 kJ/mol of formula units; total magnetization = 0.00 μB per cell; ΔE_f = 0.73 eV per atom; DOS at the Fermi energy = 3.6 states/eV/cell; SG = No. 6; theoretical density = 2.6 g/cm³
1.0
4.397 0.000 0.000
0.000 2.816 -0.018
0.000 0.940 9.622
Li Ru K
1 1 2
direct
0.000 0.262 0.591
0.500 0.739 0.662
0.000 0.162 0.905
0.500 0.337 0.342

=====

[20]
KLiRu2, relaxed, DFT PBE-GGA; E_tot = -4.36 eV/atom; energy above the most stable polymorph in this dataset = 220 kJ/mol of formula units; total magnetization = 0.47 μB per cell; ΔE_f = 1.03 eV per atom; DOS at the Fermi energy = 4.7 states/eV/cell; SG = No. 216; theoretical density = 6.1 g/cm³
1.0
-0.300 4.478 0.882
-4.013 2.152 -0.431
-2.227 1.453 3.721
Ru Li K
2 1 1
direct
0.000 0.000 0.000
0.250 0.250 0.250
0.750 0.750 0.750
0.500 0.500 0.500